(1)
RbCdAu2: relaxed, PBE.

The structure in CIF format:
```
data_RbCdAu2
_chemical_formula_sum 'Rb4 Cd4 Au8'
_space_group_name_H-M_alt 'I 41/a m d'
_space_group_IT_number 141
_cell_length_a 5.423
_cell_length_b 5.423
_cell_length_c 19.246
_cell_angle_alpha 90.00
_cell_angle_beta 90.00
_cell_angle_gamma 90.00
loop_
_space_group_symop_operation_xyz
'x,y,z'
'-x,-y,-z'
'-y+1/4,x+3/4,z+1/4'
'y+1/4,-x+3/4,-z+1/4'
'-x+1/2,-y,z+1/2'
'x+1/2,y,-z+1/2'
'y+1/4,-x+1/4,z+3/4'
'-y+1/4,x+1/4,-z+3/4'
'x,-y,-z'
'-x,y,z'
'-y+1/4,-x+1/4,-z+3/4'
'y+1/4,x+1/4,z+3/4'
'-x+1/2,y,-z+1/2'
'x+1/2,-y,z+1/2'
'y+1/4,x+3/4,-z+1/4'
'-y+1/4,-x+3/4,z+1/4'
'x+1/2,y+1/2,z+1/2'
'-x+1/2,-y+1/2,-z+1/2'
'-y+3/4,x+1/4,z+3/4'
'y+3/4,-x+1/4,-z+3/4'
'-x,-y+1/2,z'
'x,y+1/2,-z'
'y+3/4,-x+3/4,z+1/4'
'-y+3/4,x+3/4,-z+1/4'
'x+1/2,-y+1/2,-z+1/2'
'-x+1/2,y+1/2,z+1/2'
'-y+3/4,-x+3/4,-z+1/4'
'y+3/4,x+3/4,z+1/4'
'-x,y+1/2,-z'
'x,-y+1/2,z'
'y+3/4,x+1/4,-z+3/4'
'-y+3/4,-x+1/4,z+3/4'
loop_
_atom_site_label
_atom_site_type_symbol
_atom_site_fract_x
_atom_site_fract_y
_atom_site_fract_z
Rb1 Rb 0.000 0.250 0.375
Cd1 Cd 0.000 0.250 0.875
Au1 Au 0.000 0.000 0.000
```

Summary:
- ΔE_f: -185 meV per atom

***

(2)
Rb4CdAu2: relaxed, PBE.

The structure in CIF format:
```
data_Rb4CdAu2
_chemical_formula_sum 'Rb12 Cd3 Au6'
_space_group_name_H-M_alt 'R -3 m'
_space_group_IT_number 166
_space_group_name_Hall '-R 3 2"'
_cell_length_a 5.9782
_cell_length_b 5.9782
_cell_length_c 31.4023
_cell_angle_alpha 90.00
_cell_angle_beta 90.00
_cell_angle_gamma 120.00
loop_
_atom_site_label
_atom_site_type_symbol
_atom_site_fract_x
_atom_site_fract_y
_atom_site_fract_z
Rb1 Rb 0.0000 0.0000 0.1160
Rb2 Rb 0.0000 0.0000 0.2928
Cd1 Cd 0.0000 0.0000 0.5000
Au1 Au 0.0000 0.0000 0.4090
```

Summary:
- ΔE_f: -198 meV per atom